Record 1
Material: DyYHo3Er
Method: DFT, PBE
State: optimized geometry

Unit cell a=5.6882 b=9.8286 c=7.1298 alpha=90.49 beta=90.00 gamma=106.82
With the nearest neighbours (Å) after each atom.
Positions (direct):
Ho (0.5219, 0.0438, 0.7434)  2 Dy 3.11, 1 Y 3.13, 1 Er 3.14
Ho (0.8338, 0.6675, 0.2572)  3 Er 3.50-3.78, 3 Y 3.54-3.83, 4 Ho 3.59-3.73
Er (0.3514, 0.7029, 0.5401)  1 Y 3.04, 2 Ho 3.14-3.25
Dy (0.9546, 0.9093, 0.7452)  3 Ho 3.11-3.23
Dy (0.0454, 0.0907, 0.2548)  3 Ho 3.11-3.23
Y (0.6476, 0.2951, 0.0341)  1 Er 3.04, 2 Ho 3.13-3.27
Ho (0.1662, 0.3325, 0.7428)  3 Er 3.50-3.78, 3 Y 3.54-3.83, 4 Ho 3.59-3.73
Ho (0.4781, 0.9562, 0.2566)  2 Dy 3.11, 1 Y 3.13, 1 Er 3.14
Ho (0.7829, 0.5658, 0.7502)  1 Dy 3.23, 3 Er 3.25-3.47, 3 Y 3.27-3.48, 2 Ho 3.59
Y (0.3524, 0.7049, 0.9659)  1 Er 3.04, 2 Ho 3.13-3.27
Ho (0.2171, 0.4342, 0.2498)  1 Dy 3.23, 3 Er 3.25-3.47, 3 Y 3.27-3.48, 2 Ho 3.59
Er (0.6486, 0.2971, 0.4599)  1 Y 3.04, 2 Ho 3.14-3.25

The space group is C2/m, No. 12. Its density of states at the Fermi level is 1.5988 states/eV per atom. The total energy is -4.67 eV/atom. The total magnetization is 0.001 μB/f.u.

***

Record 2
Material: DyY6HoEr2
Method: DFT, PBE
State: optimized geometry

Unit cell a=9.5764 b=8.7493 c=8.7493 alpha=117.48 beta=94.19 gamma=94.19
With the nearest neighbours (Å) after each atom.
Positions (direct):
Dy (0.7500, 0.0242, 0.9758)  4 Er 3.38-3.39, 4 Y 3.54-3.63
Er (0.4539, 0.8037, 0.7008)  6 Y 3.24-3.61, 2 Dy 3.38-3.39, 1 Ho 3.52
Y (0.9441, 0.8782, 0.2463)  7 Y 3.40-3.74, 1 Er 3.46, 1 Dy 3.63
Y (0.8163, 0.4309, 0.9834)  3 Y 3.24-3.58, 2 Er 3.37-3.61, 1 Ho 3.44, 1 Dy 3.54
Er (0.9539, 0.7008, 0.8037)  6 Y 3.24-3.61, 2 Dy 3.38-3.39, 1 Ho 3.52
Er (0.0461, 0.2992, 0.1963)  6 Y 3.24-3.61, 2 Dy 3.38-3.39, 1 Ho 3.52
Y (0.1182, 0.7073, 0.4949)  4 Y 3.24-3.55, 3 Er 3.24-3.41, 2 Ho 3.39-3.52
Dy (0.2500, 0.9758, 0.0242)  4 Er 3.38-3.39, 4 Y 3.54-3.63
Y (0.5559, 0.7537, 0.1218)  7 Y 3.40-3.74, 1 Er 3.46, 1 Dy 3.63
Ho (0.7500, 0.5914, 0.4086)  6 Y 3.39-3.52, 2 Er 3.52
Y (0.8818, 0.2927, 0.5051)  4 Y 3.24-3.55, 3 Er 3.24-3.41, 2 Ho 3.39-3.52
Ho (0.2500, 0.4086, 0.5914)  6 Y 3.39-3.52, 2 Er 3.52
Y (0.1837, 0.5691, 0.0166)  3 Y 3.24-3.58, 2 Er 3.37-3.61, 1 Ho 3.44, 1 Dy 3.54
Y (0.4441, 0.2463, 0.8782)  7 Y 3.40-3.74, 1 Er 3.46, 1 Dy 3.63
Y (0.3163, 0.9834, 0.4309)  3 Y 3.24-3.58, 2 Er 3.37-3.61, 1 Ho 3.44, 1 Dy 3.54
Y (0.3818, 0.5051, 0.2927)  4 Y 3.24-3.55, 3 Er 3.24-3.41, 2 Ho 3.39-3.52
Er (0.5461, 0.1963, 0.2992)  6 Y 3.24-3.61, 2 Dy 3.38-3.39, 1 Ho 3.52
Y (0.6182, 0.4949, 0.7073)  4 Y 3.24-3.55, 3 Er 3.24-3.41, 2 Ho 3.39-3.52
Y (0.6837, 0.0166, 0.5691)  3 Y 3.24-3.58, 2 Er 3.37-3.61, 1 Ho 3.44, 1 Dy 3.54
Y (0.0559, 0.1218, 0.7537)  7 Y 3.40-3.74, 1 Er 3.46, 1 Dy 3.63

The space group is C2/c, No. 15. Its density of states at the Fermi level is 1.5428 states/eV per atom. The total energy is -5.59 eV/atom. The total magnetization is 0.000 μB/f.u.

***

Record 3
Material: Dy6Y2HoEr
Method: DFT, PBE
State: optimized geometry

Unit cell a=9.4925 b=8.7602 c=8.7602 alpha=117.73 beta=93.69 gamma=93.69
With the nearest neighbours (Å) after each atom.
Positions (direct):
Y (0.4553, 0.8017, 0.6986)  6 Dy 3.25-3.63, 2 Ho 3.37-3.40, 1 Er 3.52
Dy (0.8810, 0.2906, 0.5079)  4 Dy 3.19-3.51, 3 Y 3.25-3.42, 2 Er 3.40-3.52
Y (0.5447, 0.1983, 0.3014)  6 Dy 3.25-3.63, 2 Ho 3.37-3.40, 1 Er 3.52
Dy (0.6190, 0.4921, 0.7094)  4 Dy 3.19-3.51, 3 Y 3.25-3.42, 2 Er 3.40-3.52
Dy (0.0566, 0.1240, 0.7532)  7 Dy 3.39-3.70, 1 Y 3.47, 1 Ho 3.66
Dy (0.3139, 0.9826, 0.4309)  2 Dy 3.19-3.56, 1 Y 3.38, 1 Er 3.44, 1 Ho 3.54
Dy (0.5566, 0.7532, 0.1240)  7 Dy 3.39-3.70, 1 Y 3.47, 1 Ho 3.66
Dy (0.4434, 0.2468, 0.8760)  7 Dy 3.39-3.70, 1 Y 3.47, 1 Ho 3.66
Dy (0.1861, 0.5691, 0.0174)  2 Dy 3.19-3.56, 1 Y 3.38, 1 Er 3.44, 1 Ho 3.54
Dy (0.8139, 0.4309, 0.9826)  2 Dy 3.19-3.56, 1 Y 3.38, 1 Er 3.44, 1 Ho 3.54
Ho (0.7500, 0.0248, 0.9752)  4 Y 3.37-3.40, 4 Dy 3.54-3.66
Er (0.2500, 0.4094, 0.5906)  6 Dy 3.40-3.52, 2 Y 3.52
Dy (0.3810, 0.5079, 0.2906)  4 Dy 3.19-3.51, 3 Y 3.25-3.42, 2 Er 3.40-3.52
Dy (0.9434, 0.8760, 0.2468)  7 Dy 3.39-3.70, 1 Y 3.47, 1 Ho 3.66
Dy (0.6861, 0.0174, 0.5691)  2 Dy 3.19-3.56, 1 Y 3.38, 1 Er 3.44, 1 Ho 3.54
Ho (0.2500, 0.9752, 0.0248)  4 Y 3.37-3.40, 4 Dy 3.54-3.66
Er (0.7500, 0.5906, 0.4094)  6 Dy 3.40-3.52, 2 Y 3.52
Y (0.0447, 0.3014, 0.1983)  6 Dy 3.25-3.63, 2 Ho 3.37-3.40, 1 Er 3.52
Dy (0.1190, 0.7094, 0.4921)  4 Dy 3.19-3.51, 3 Y 3.25-3.42, 2 Er 3.40-3.52
Y (0.9553, 0.6986, 0.8017)  6 Dy 3.25-3.63, 2 Ho 3.37-3.40, 1 Er 3.52

The space group is C2/c, No. 15. Its density of states at the Fermi level is 1.4049 states/eV per atom. The total energy is -4.84 eV/atom. The total magnetization is 0.000 μB/f.u.

***

Record 4
Material: DyYHoEr
Method: DFT, PBE
State: optimized geometry

Unit cell a=5.6500 b=5.6500 c=5.6500 alpha=60.00 beta=60.00 gamma=60.00
With the nearest neighbours (Å) after each atom.
Positions (direct):
Dy (0.2500, 0.2500, 0.2500)  4 Ho 3.46, 4 Er 3.46
Er (0.0000, 0.0000, 0.0000)  4 Y 3.46, 4 Dy 3.46
Ho (0.5000, 0.5000, 0.5000)  4 Dy 3.46, 4 Y 3.46
Y (0.7500, 0.7500, 0.7500)  4 Ho 3.46, 4 Er 3.46

The space group is F-43m, No. 216. The value obtained for the energy above the most stable polymorph in this dataset is 117 meV/atom. Its density of states at the Fermi level is 2.6462 states/eV per atom. The total magnetization is 0.034 μB/f.u.

***

Record 5
Material: Dy2YHoEr
Method: DFT, PBE
State: optimized geometry

Unit cell a=6.3514 b=6.3485 c=8.8586 alpha=111.00 beta=90.00 gamma=90.00
With the nearest neighbours (Å) after each atom.
Positions (direct):
Y (0.7500, 0.7500, 0.5000)  4 Ho 3.53, 4 Er 3.53-3.54
Dy (0.5000, 0.2500, 0.0000)  4 Dy 3.17-3.18, 2 Er 3.42, 2 Ho 3.42
Dy (0.5000, 0.7500, 0.0000)  4 Dy 3.17-3.18, 2 Er 3.42, 2 Ho 3.42
Y (0.2500, 0.2500, 0.5000)  4 Ho 3.53, 4 Er 3.53-3.54
Er (0.2500, 0.6560, 0.3119)  1 Ho 3.11, 4 Dy 3.42
Ho (0.7500, 0.1562, 0.3125)  1 Er 3.11, 4 Dy 3.42
Ho (0.2500, 0.8438, 0.6875)  1 Er 3.11, 4 Dy 3.42
Er (0.7500, 0.3440, 0.6881)  1 Ho 3.11, 4 Dy 3.42
Dy (0.0000, 0.2500, 0.0000)  4 Dy 3.17-3.18, 2 Er 3.42, 2 Ho 3.42
Dy (0.0000, 0.7500, 0.0000)  4 Dy 3.17-3.18, 2 Er 3.42, 2 Ho 3.42

The space group is Cmcm, No. 63. Its density of states at the Fermi level is 1.6583 states/eV per atom. The total energy is -4.60 eV/atom. The total magnetization is 0.332 μB/f.u.

***

Record 6
Material: Dy2YHo4Er2
Method: DFT, PBE
State: optimized geometry

Unit cell a=3.5640 b=9.4270 c=9.4546 alpha=115.28 beta=90.00 gamma=100.90
With the nearest neighbours (Å) after each atom.
Positions (direct):
Ho (0.1854, 0.3709, 0.3341)  6 Ho 3.49-3.57, 3 Dy 3.50-3.56, 2 Er 3.51, 1 Y 3.51
Y (0.0000, 0.0000, 0.0000)  6 Ho 3.51-3.52, 2 Y 3.56, 4 Er 3.57
Er (0.3328, 0.6657, 0.9997)  3 Dy 3.50, 3 Ho 3.51-3.52, 4 Er 3.55-3.56, 2 Y 3.57
Ho (0.5188, 0.0377, 0.3350)  5 Ho 3.48-3.57, 4 Dy 3.49-3.56, 2 Y 3.52, 1 Er 3.52
Dy (0.1481, 0.2962, 0.6668)  7 Ho 3.49-3.56, 3 Er 3.50, 2 Dy 3.56
Ho (0.8146, 0.6291, 0.6659)  6 Ho 3.49-3.57, 3 Dy 3.50-3.56, 2 Er 3.51, 1 Y 3.51
Er (0.6672, 0.3343, 0.0003)  3 Dy 3.50, 3 Ho 3.51-3.52, 4 Er 3.55-3.56, 2 Y 3.57
Ho (0.4812, 0.9623, 0.6650)  5 Ho 3.48-3.57, 4 Dy 3.49-3.56, 2 Y 3.52, 1 Er 3.52
Dy (0.8519, 0.7038, 0.3332)  7 Ho 3.49-3.56, 3 Er 3.50, 2 Dy 3.56

The space group is C2/m, No. 12. Its density of states at the Fermi level is 1.3606 states/eV per atom. The total energy is -4.79 eV/atom. The total magnetization is 0.000 μB/f.u.

***

Record 7
Material: Dy3YHoEr
Method: DFT, PBE
State: optimized geometry

Unit cell a=5.4194 b=11.2895 c=6.7311 alpha=81.93 beta=90.00 gamma=103.89
With the nearest neighbours (Å) after each atom.
Positions (direct):
Dy (0.4748, 0.9495, 0.2728)  1 Er 3.32, 2 Y 3.33-3.59, 2 Dy 3.40-3.68, 2 Ho 3.52
Dy (0.5252, 0.0505, 0.7272)  1 Er 3.32, 2 Y 3.33-3.59, 2 Dy 3.40-3.68, 2 Ho 3.52
Dy (0.2253, 0.4507, 0.1913)  3 Y 3.27-3.65, 1 Ho 3.36, 3 Er 3.45-3.49, 2 Dy 3.53-3.65
Y (0.3681, 0.7361, 0.9668)  1 Er 3.17, 4 Dy 3.27-3.42, 2 Ho 3.53
Er (0.6670, 0.3339, 0.4736)  1 Y 3.17, 6 Dy 3.21-3.49
Dy (0.1676, 0.3351, 0.7280)  2 Er 3.21, 2 Y 3.42, 1 Dy 3.53, 1 Ho 3.59
Er (0.3330, 0.6661, 0.5264)  1 Y 3.17, 6 Dy 3.21-3.49
Ho (0.0723, 0.1446, 0.3375)  4 Dy 3.36-3.59, 2 Y 3.53, 1 Ho 3.58, 2 Er 3.61
Dy (0.7747, 0.5493, 0.8087)  3 Y 3.27-3.65, 1 Ho 3.36, 3 Er 3.45-3.49, 2 Dy 3.53-3.65
Dy (0.8324, 0.6649, 0.2720)  2 Er 3.21, 2 Y 3.42, 1 Dy 3.53, 1 Ho 3.59
Y (0.6319, 0.2639, 0.0332)  1 Er 3.17, 4 Dy 3.27-3.42, 2 Ho 3.53
Ho (0.9277, 0.8554, 0.6625)  4 Dy 3.36-3.59, 2 Y 3.53, 1 Ho 3.58, 2 Er 3.61

The space group is C2/m, No. 12. Its density of states at the Fermi level is 1.6625 states/eV per atom. The total energy is -4.70 eV/atom. The total magnetization is 0.000 μB/f.u.

***

Record 8
Material: Dy2Y6Ho2Er
Method: DFT, PBE
State: optimized geometry

Unit cell a=6.6383 b=6.6383 c=11.9055 alpha=101.64 beta=101.64 gamma=129.61
With the nearest neighbours (Å) after each atom.
Positions (direct):
Dy (0.8657, 0.1343, 0.0000)  1 Dy 3.23, 8 Y 3.35-3.56
Ho (0.7063, 0.2937, 0.5000)  2 Ho 3.02, 2 Y 3.28
Y (0.5520, 0.8570, 0.2052)  3 Dy 3.35-3.56, 5 Y 3.50-3.67, 1 Ho 3.53, 1 Er 3.59
Y (0.7060, 0.7060, 0.7053)  2 Ho 3.28, 2 Dy 3.49, 4 Y 3.50, 2 Er 3.55-3.56
Y (0.2940, 0.2940, 0.2947)  2 Ho 3.28, 2 Dy 3.49, 4 Y 3.50, 2 Er 3.55-3.56
Y (0.8570, 0.5520, 0.2052)  3 Dy 3.35-3.56, 5 Y 3.50-3.67, 1 Ho 3.53, 1 Er 3.59
Y (0.1430, 0.4480, 0.7948)  3 Dy 3.35-3.56, 5 Y 3.50-3.67, 1 Ho 3.53, 1 Er 3.59
Er (0.0000, 0.0000, 0.5000)  6 Ho 3.53-3.76, 8 Y 3.55-3.59
Ho (0.2937, 0.7063, 0.5000)  2 Ho 3.02, 2 Y 3.28
Y (0.4480, 0.1430, 0.7948)  3 Dy 3.35-3.56, 5 Y 3.50-3.67, 1 Ho 3.53, 1 Er 3.59
Dy (0.1343, 0.8657, 0.0000)  1 Dy 3.23, 8 Y 3.35-3.56

The space group is C2/m, No. 12. Its density of states at the Fermi level is 1.6371 states/eV per atom. The total energy is -5.46 eV/atom. The total magnetization is 0.000 μB/f.u.

***

Record 9
Material: Dy2YHoEr5
Method: DFT, PBE
State: optimized geometry

Unit cell a=8.8351 b=8.8351 c=9.6133 alpha=117.36 beta=117.36 gamma=90.00
With the nearest neighbours (Å) after each atom.
Positions (direct):
Dy (0.3868, 0.8868, 0.0000)  1 Dy 2.83, 2 Er 2.99
Er (0.8383, 0.9275, 0.2658)  1 Dy 2.99, 1 Ho 3.08
Er (0.0000, 0.0000, 0.0000)  4 Dy 3.56, 2 Y 3.65, 8 Er 3.72
Y (0.7500, 0.7500, 0.5000)  10 Er 3.60-3.65
Ho (0.2500, 0.7500, 0.5000)  4 Er 3.08
Er (0.5725, 0.6617, 0.7342)  1 Dy 2.99, 1 Ho 3.08
Dy (0.6132, 0.1132, 0.0000)  1 Dy 2.83, 2 Er 2.99
Er (0.9275, 0.4275, 0.2658)  1 Dy 2.99, 1 Ho 3.08
Er (0.1617, 0.0725, 0.7342)  1 Dy 2.99, 1 Ho 3.08
Ho (0.7500, 0.2500, 0.5000)  4 Er 3.08
Er (0.4275, 0.3383, 0.2658)  1 Dy 2.99, 1 Ho 3.08
Dy (0.1132, 0.3868, 0.0000)  1 Dy 2.83, 2 Er 2.99
Er (0.3383, 0.8383, 0.2658)  1 Dy 2.99, 1 Ho 3.08
Er (0.5000, 0.5000, 0.0000)  4 Dy 3.56, 2 Y 3.65, 8 Er 3.72
Er (0.6617, 0.1617, 0.7342)  1 Dy 2.99, 1 Ho 3.08
Er (0.0725, 0.5725, 0.7342)  1 Dy 2.99, 1 Ho 3.08
Y (0.2500, 0.2500, 0.5000)  10 Er 3.60-3.65
Dy (0.8868, 0.6132, 0.0000)  1 Dy 2.83, 2 Er 2.99

The space group is I4/mcm, No. 140. Its density of states at the Fermi level is 1.2474 states/eV per atom. The total energy is -4.49 eV/atom. The total magnetization is 0.000 μB/f.u.

***

Record 10
Material: DyYHo2Er5
Method: DFT, PBE
State: optimized geometry

Unit cell a=5.5552 b=10.2365 c=10.4944 alpha=90.00 beta=90.00 gamma=105.74
With the nearest neighbours (Å) after each atom.
Positions (direct):
Er (0.4787, 0.9574, 0.7376)  2 Y 3.12-3.23, 2 Ho 3.42, 2 Er 3.43-3.47
Er (0.3003, 0.6006, 0.7092)  4 Er 3.37-3.74, 3 Ho 3.46-3.76, 3 Dy 3.47-3.74, 1 Y 3.48
Ho (0.8901, 0.7801, 0.2369)  7 Er 3.36-3.76, 1 Dy 3.38, 2 Y 3.63
Ho (0.1128, 0.2255, 0.3177)  9 Er 3.31-3.60, 1 Dy 3.64
Er (0.5213, 0.0426, 0.2376)  2 Y 3.12-3.23, 2 Ho 3.42, 2 Er 3.43-3.47
Dy (0.2000, 0.4000, 0.0115)  2 Ho 3.38-3.64, 8 Er 3.47-3.75, 2 Y 3.61
Er (0.6997, 0.3994, 0.2092)  4 Er 3.37-3.74, 3 Ho 3.46-3.76, 3 Dy 3.47-3.74, 1 Y 3.48
Dy (0.8000, 0.6000, 0.5115)  2 Ho 3.38-3.64, 8 Er 3.47-3.75, 2 Y 3.61
Er (0.9821, 0.9642, 0.5249)  2 Y 3.17, 3 Ho 3.36-3.52
Er (0.3901, 0.7802, 0.0230)  6 Er 3.43-3.75, 4 Ho 3.52-3.57, 1 Dy 3.75
Er (0.6099, 0.2198, 0.5230)  6 Er 3.43-3.75, 4 Ho 3.52-3.57, 1 Dy 3.75
Er (0.7191, 0.4382, 0.8079)  1 Y 3.03, 1 Ho 3.31, 2 Er 3.37
Ho (0.8872, 0.7745, 0.8177)  9 Er 3.31-3.60, 1 Dy 3.64
Y (0.5865, 0.1731, 0.9551)  5 Er 3.03-3.23
Er (0.0179, 0.0358, 0.0249)  2 Y 3.17, 3 Ho 3.36-3.52
Er (0.2809, 0.5618, 0.3079)  1 Y 3.03, 1 Ho 3.31, 2 Er 3.37
Y (0.4135, 0.8269, 0.4551)  5 Er 3.03-3.23
Ho (0.1099, 0.2199, 0.7369)  7 Er 3.36-3.76, 1 Dy 3.38, 2 Y 3.63

The space group is Cmc2_1, No. 36. Its density of states at the Fermi level is 1.6002 states/eV per atom. The total energy is -4.62 eV/atom. The total magnetization is 0.000 μB/f.u.

***

Record 11
Material: DyYHo5Er2
Method: DFT, PBE
State: optimized geometry

Unit cell a=5.5631 b=10.2702 c=10.4958 alpha=90.00 beta=90.00 gamma=105.71
With the nearest neighbours (Å) after each atom.
Positions (direct):
Er (0.1131, 0.2263, 0.3170)  9 Ho 3.31-3.61, 1 Dy 3.64
Y (0.5871, 0.1742, 0.9548)  5 Ho 3.03-3.25
Ho (0.6999, 0.3999, 0.2087)  4 Ho 3.37-3.75, 3 Er 3.46-3.77, 3 Dy 3.47-3.75, 1 Y 3.47
Y (0.4129, 0.8258, 0.4548)  5 Ho 3.03-3.25
Ho (0.4787, 0.9574, 0.7383)  2 Y 3.12-3.25, 2 Er 3.42, 2 Ho 3.44-3.47
Ho (0.5213, 0.0426, 0.2383)  2 Y 3.12-3.25, 2 Er 3.42, 2 Ho 3.44-3.47
Ho (0.9824, 0.9648, 0.5243)  2 Y 3.19, 3 Er 3.37-3.52
Ho (0.0176, 0.0352, 0.0243)  2 Y 3.19, 3 Er 3.37-3.52
Er (0.8900, 0.7800, 0.2375)  7 Ho 3.37-3.77, 1 Dy 3.38, 2 Y 3.63
Ho (0.6100, 0.2200, 0.5235)  6 Ho 3.44-3.76, 4 Er 3.53-3.58, 1 Dy 3.76
Ho (0.3900, 0.7800, 0.0235)  6 Ho 3.44-3.76, 4 Er 3.53-3.58, 1 Dy 3.76
Ho (0.7193, 0.4386, 0.8083)  1 Y 3.03, 1 Er 3.31, 2 Ho 3.37
Er (0.8869, 0.7737, 0.8170)  9 Ho 3.31-3.61, 1 Dy 3.64
Ho (0.3001, 0.6001, 0.7087)  4 Ho 3.37-3.75, 3 Er 3.46-3.77, 3 Dy 3.47-3.75, 1 Y 3.47
Ho (0.2807, 0.5614, 0.3083)  1 Y 3.03, 1 Er 3.31, 2 Ho 3.37
Dy (0.8002, 0.6005, 0.5114)  2 Er 3.38-3.64, 8 Ho 3.47-3.76, 2 Y 3.61
Dy (0.1998, 0.3995, 0.0114)  2 Er 3.38-3.64, 8 Ho 3.47-3.76, 2 Y 3.61
Er (0.1100, 0.2200, 0.7375)  7 Ho 3.37-3.77, 1 Dy 3.38, 2 Y 3.63

The space group is Cmc2_1, No. 36. Its density of states at the Fermi level is 1.6450 states/eV per atom. The total energy is -4.62 eV/atom. The total magnetization is 0.001 μB/f.u.

***

Record 12
Material: DyY2Ho3Er6
Method: DFT, PBE
State: optimized geometry

Unit cell a=6.1019 b=6.1019 c=11.6822 alpha=94.99 beta=94.99 gamma=119.94
With the nearest neighbours (Å) after each atom.
Positions (direct):
Ho (0.1667, 0.8333, 0.5000)  6 Er 3.51, 6 Ho 3.52-3.53
Er (0.5835, 0.9162, 0.7489)  3 Ho 3.51, 6 Er 3.52-3.53, 1 Dy 3.53, 2 Y 3.53
Ho (0.8333, 0.1667, 0.5000)  6 Er 3.51, 6 Ho 3.52-3.53
Er (0.2488, 0.2488, 0.7490)  3 Ho 3.51-3.52, 6 Er 3.52-3.53, 1 Dy 3.53, 2 Y 3.53
Ho (0.5000, 0.5000, 0.5000)  6 Er 3.51-3.52, 6 Ho 3.52-3.53
Er (0.7512, 0.7512, 0.2510)  3 Ho 3.51-3.52, 6 Er 3.52-3.53, 1 Dy 3.53, 2 Y 3.53
Dy (0.0000, 0.0000, 0.0000)  6 Y 3.52-3.53, 6 Er 3.53
Er (0.9162, 0.5835, 0.7489)  3 Ho 3.51, 6 Er 3.52-3.53, 1 Dy 3.53, 2 Y 3.53
Er (0.0838, 0.4165, 0.2511)  3 Ho 3.51, 6 Er 3.52-3.53, 1 Dy 3.53, 2 Y 3.53
Er (0.4165, 0.0838, 0.2511)  3 Ho 3.51, 6 Er 3.52-3.53, 1 Dy 3.53, 2 Y 3.53
Y (0.3333, 0.6667, 0.0000)  3 Dy 3.52-3.53, 3 Y 3.52, 6 Er 3.53
Y (0.6667, 0.3333, 0.0000)  3 Dy 3.52-3.53, 3 Y 3.52, 6 Er 3.53

The space group is C2/m, No. 12. Its density of states at the Fermi level is 1.4141 states/eV per atom. The total energy is -4.86 eV/atom. The total magnetization is 0.000 μB/f.u.

***

Number 9 is which compound?
Dy2YHoEr5